Record 1
# AlTlCd

A geometry-optimized AlTlCd structure (GGA-PBE, Alexandria).

a = 3.5676 Å, b = 5.7193 Å, c = 7.7753 Å
α = 109.74°, β = 90.12°, γ = 90.04°
With the nearest neighbours (Å) after each atom.
Space group P-1 (No. 2)
Symmetry-distinct sites (fractional):
Al1 0.2498 0.0766 0.3958 [2 per cell]  2 Al 2.74-2.75, 4 Cd 2.81-3.01, 1 Tl 3.07
Tl1 0.2511 0.2126 0.9284 [2 per cell]  2 Al 3.07-3.08, 3 Cd 3.14-3.42
Cd1 0.2496 0.5401 0.3447 [2 per cell]  4 Al 2.81-3.01, 1 Tl 3.14

Values from the calculation:
ΔE_f = 0.15 eV/atom


Record 2
# Ac2TbPr5

A geometry-optimized Ac2TbPr5 structure (GGA-PBE, Alexandria).

a = 5.3446 Å, b = 5.3446 Å, c = 21.1301 Å
α = 90.00°, β = 90.00°, γ = 90.00°
With the nearest neighbours (Å) after each atom.
Space group I4/mmm (No. 139)
Symmetry-distinct sites (fractional):
Ac1 0.0000 0.0000 0.2501 [4 per cell]  4 Ac 3.78, 8 Pr 3.84
Tb1 0.0000 0.0000 0.0000 [2 per cell]  12 Pr 3.67-3.78
Pr1 0.0000 0.0000 0.5000 [2 per cell]  8 Pr 3.67, 4 Tb 3.78
Pr2 0.0000 0.5000 0.1193 [8 per cell]  2 Tb 3.67, 6 Pr 3.67-3.78, 4 Ac 3.84

Values from the calculation:
Distance to the lowest polymorph of the same formula = 0.073 kcal/mol of atoms
ΔE_f = 0.03 eV/atom


Record 3
# Np2Pa5S12

A geometry-optimized Np2Pa5S12 structure (GGA-PBE, Alexandria).

a = 15.4745 Å, b = 6.7412 Å, c = 8.6969 Å
α = 90.00°, β = 105.49°, γ = 90.00°
With the nearest neighbours (Å) after each atom.
Space group C2/m (No. 12)
Symmetry-distinct sites (fractional):
Np1 0.0000 0.1775 0.0000 [4 per cell]  1 Np 2.39, 2 S 2.67
Pa1 0.0000 0.5000 0.5000 [2 per cell]  6 S 2.64-2.84
Pa2 0.1780 0.0000 0.8382 [4 per cell]  7 S 2.75-2.84
Pa3 0.1886 0.0000 0.3455 [4 per cell]  7 S 2.72-2.83
S1 0.0051 0.0000 0.2884 [4 per cell]  2 Pa 2.75, 2 Np 2.76
S2 0.0092 0.5000 0.8073 [4 per cell]  1 Pa 2.64, 2 Np 2.77
S3 0.1562 0.2593 0.5734 [8 per cell]  4 Pa 2.79-2.84
S4 0.1755 0.2525 0.0965 [8 per cell]  1 Np 2.67, 3 Pa 2.72-2.83

Values from the calculation:
Formation energy from raw total energies = -1.421 eV/atom


Record 4
# Ho12In3Hg

A geometry-optimized Ho12In3Hg structure (GGA-PBE, Alexandria).

a = 4.8129 Å, b = 4.8129 Å, c = 19.2483 Å
α = 90.00°, β = 90.00°, γ = 90.00°
With the nearest neighbours (Å) after each atom.
Space group P4/mmm (No. 123)
Symmetry-distinct sites (fractional):
Ho1 0.0000 0.0000 0.0000 [1 per cell]  8 Ho 3.39, 4 Hg 3.40
Ho2 0.0000 0.0000 0.2489 [2 per cell]  4 In 3.40, 8 Ho 3.41-3.42
Ho3 0.0000 0.0000 0.5000 [1 per cell]  4 In 3.40, 8 Ho 3.40
Ho4 0.0000 0.5000 0.1238 [4 per cell]  2 Hg 3.39, 8 Ho 3.39-3.41, 2 In 3.40
Ho5 0.0000 0.5000 0.3749 [4 per cell]  8 Ho 3.40-3.42, 4 In 3.40-3.42
In1 0.5000 0.5000 0.2489 [2 per cell]  12 Ho 3.40-3.42
In2 0.5000 0.5000 0.5000 [1 per cell]  12 Ho 3.40
Hg1 0.5000 0.5000 0.0000 [1 per cell]  12 Ho 3.39-3.40

Values from the calculation:
ΔE_f = -0.24 eV/atom


In μB/f.u., the spin magnetization values for the records above are, in order, 0.00; 0.00; 7.11; 1.37.